Na3C2O6 | PBE | relaxed

Summary:
**ΔE to the lowest computed polymorph**: 0.9932 eV/atom
**Uncorrected formation energy**: -0.5924 eV per atom
**Theoretical density**: 2.9 Mg/m³
**Space group**: I4/mmm
**Volume**: 9.68 Å³/atom

a = 3.2941 Å, b = 3.2941 Å, c = 10.0811 Å
α = 99.40°, β = 99.40°, γ = 90.00°
Last column: nearest neighbours and their distance in Å.
Fractional coordinates of all 11 atoms:
1 Na 0.0000 0.0000 0.0000  8 O 2.42
2 Na 0.8133 0.8133 0.6266  9 O 2.33-2.51
3 Na 0.1867 0.1867 0.3734  9 O 2.33-2.51
4 C 0.3768 0.3768 0.7537  1 O 1.28
5 C 0.6232 0.6232 0.2463  1 O 1.28
6 O 0.0905 0.5905 0.1809  2 C 1.77
7 O 0.5905 0.0905 0.1809  2 C 1.77
8 O 0.9095 0.4095 0.8191  2 C 1.77
9 O 0.4095 0.9095 0.8191  2 C 1.77
10 O 0.6883 0.6883 0.3767  1 C 1.28
11 O 0.3117 0.3117 0.6233  1 C 1.28

=====

NaCO2 | PBE | relaxed

Summary:
**Uncorrected formation energy**: -1.5321 eV per atom
**Theoretical density**: 2.2 Mg/m³
**Space group**: P2_1/c
**Volume**: 12.44 Å³/atom

a = 3.5514 Å, b = 5.2973 Å, c = 10.6002 Å
α = 90.00°, β = 93.74°, γ = 90.00°
Last column: nearest neighbours and their distance in Å.
Fractional coordinates of all 16 atoms:
1 Na 0.2979 0.4432 0.8559  6 O 2.37-2.59
2 Na 0.7021 0.9432 0.6441  6 O 2.37-2.59
3 Na 0.7021 0.5568 0.1441  6 O 2.37-2.59
4 Na 0.2979 0.0568 0.3559  6 O 2.37-2.59
5 C 0.1133 0.4561 0.5630  2 O 1.27
6 C 0.8867 0.9561 0.9370  2 O 1.27
7 C 0.8867 0.5439 0.4370  2 O 1.27
8 C 0.1133 0.0439 0.0630  2 O 1.27
9 O 0.1617 0.8825 0.1511  1 C 1.27
10 O 0.8383 0.3825 0.3489  1 C 1.27
11 O 0.8383 0.1175 0.8489  1 C 1.27
12 O 0.1617 0.6175 0.6511  1 C 1.27
13 O 0.2303 0.2701 0.0671  1 C 1.27
14 O 0.7697 0.7701 0.4329  1 C 1.27
15 O 0.7697 0.7299 0.9329  1 C 1.27
16 O 0.2303 0.2299 0.5671  1 C 1.27

=====

Which formula does entry 2 have?
NaCO2

=====

Please write out number 2 again, unchanged.
NaCO2 | PBE | relaxed

Summary:
**Uncorrected formation energy**: -1.5321 eV per atom
**Theoretical density**: 2.2 Mg/m³
**Space group**: P2_1/c
**Volume**: 12.44 Å³/atom

a = 3.5514 Å, b = 5.2973 Å, c = 10.6002 Å
α = 90.00°, β = 93.74°, γ = 90.00°
Last column: nearest neighbours and their distance in Å.
Fractional coordinates of all 16 atoms:
1 Na 0.2979 0.4432 0.8559  6 O 2.37-2.59
2 Na 0.7021 0.9432 0.6441  6 O 2.37-2.59
3 Na 0.7021 0.5568 0.1441  6 O 2.37-2.59
4 Na 0.2979 0.0568 0.3559  6 O 2.37-2.59
5 C 0.1133 0.4561 0.5630  2 O 1.27
6 C 0.8867 0.9561 0.9370  2 O 1.27
7 C 0.8867 0.5439 0.4370  2 O 1.27
8 C 0.1133 0.0439 0.0630  2 O 1.27
9 O 0.1617 0.8825 0.1511  1 C 1.27
10 O 0.8383 0.3825 0.3489  1 C 1.27
11 O 0.8383 0.1175 0.8489  1 C 1.27
12 O 0.1617 0.6175 0.6511  1 C 1.27
13 O 0.2303 0.2701 0.0671  1 C 1.27
14 O 0.7697 0.7701 0.4329  1 C 1.27
15 O 0.7697 0.7299 0.9329  1 C 1.27
16 O 0.2303 0.2299 0.5671  1 C 1.27